No. 1
The following is a DFT calculation (PBE) of crystalline MnReC3 at its relaxed geometry.

Lattice parameters (Å, degrees): 3.982 3.982 3.982 90.00 90.00 90.00
Sites, in units of the cell vectors:
Mn (0.000, 0.000, 0.000)
Re (0.500, 0.500, 0.500)
C (0.000, 0.500, 0.500)
C (0.500, 0.000, 0.500)
C (0.500, 0.500, 0.000)

* DFT total energy: -38.20 eV per cell
* spin magnetization: 0.37 Bohr magnetons per cell
* symmetry: Pm-3m, No. 221
* calculated formation energy: 2.2171 eV per atom

***

No. 2
The following is a DFT calculation (PBE) of crystalline NaLiCuPt at its relaxed geometry.

Lattice parameters (Å, degrees): 4.426 4.426 4.426 60.00 60.00 60.00
Sites, in units of the cell vectors:
Na (0.000, 0.000, 0.000)
Li (0.250, 0.250, 0.250)
Cu (0.750, 0.750, 0.750)
Pt (0.500, 0.500, 0.500)

* DFT total energy: -14.01 eV per cell
* spin magnetization: 0.00 Bohr magnetons per cell
* symmetry: F-43m, No. 216
* calculated formation energy: -0.1594 eV per atom

***

No. 3
The following is a DFT calculation (PBE) of crystalline CaGaICl4 at its relaxed geometry.

Lattice parameters (Å, degrees): 8.064 8.064 9.619 93.63 93.63 59.26
Sites, in units of the cell vectors:
Ca (0.152, 0.152, 0.008)
Ca (0.848, 0.848, 0.992)
Ga (0.346, 0.346, 0.725)
Ga (0.654, 0.654, 0.275)
I (0.004, 0.004, 0.223)
I (0.996, 0.996, 0.777)
Cl (0.053, 0.476, 0.833)
Cl (0.304, 0.304, 0.508)
Cl (0.476, 0.053, 0.833)
Cl (0.492, 0.492, 0.803)
Cl (0.508, 0.508, 0.197)
Cl (0.524, 0.947, 0.167)
Cl (0.696, 0.696, 0.492)
Cl (0.947, 0.524, 0.167)

* DFT total energy: -48.05 eV per cell
* uncorrected formation energy: -1437 meV per atom
* spin magnetization: 0.00 Bohr magnetons per cell
* symmetry: C2/m, No. 12

***

No. 4
The following is a DFT calculation (PBE) of crystalline BiPd5Au at its relaxed geometry.

Lattice parameters (Å, degrees): 4.887 4.887 11.322 90.00 90.00 72.07
Sites, in units of the cell vectors:
Bi (0.002, 0.998, 0.750)
Bi (0.998, 0.002, 0.250)
Pd (0.001, 0.497, 0.621)
Pd (0.001, 0.497, 0.879)
Pd (0.497, 0.001, 0.121)
Pd (0.497, 0.001, 0.379)
Pd (0.499, 0.501, 0.250)
Pd (0.501, 0.499, 0.750)
Pd (0.503, 0.999, 0.621)
Pd (0.503, 0.999, 0.879)
Pd (0.999, 0.503, 0.121)
Pd (0.999, 0.503, 0.379)
Au (0.500, 0.500, 0.000)
Au (0.500, 0.500, 0.500)

* DFT total energy: -67.88 eV per cell
* polymorph energy (0 for the lowest one): 0.006 eV per atom
* spin magnetization: 0.00 Bohr magnetons per cell
* symmetry: Cmcm, No. 63
* calculated formation energy: -0.1170 eV per atom

***

No. 5
The following is a DFT calculation (PBE) of crystalline UTiAs2 at its relaxed geometry.

Lattice parameters (Å, degrees): 7.184 7.184 7.184 30.09 30.09 30.09
Sites, in units of the cell vectors:
U (0.000, 0.000, 0.000)
Ti (0.172, 0.172, 0.172)
As (0.575, 0.575, 0.575)
As (0.764, 0.764, 0.764)

* DFT total energy: -31.43 eV per cell
* polymorph energy (0 for the lowest one): 0.078 eV per atom
* spin magnetization: 2.72 Bohr magnetons per cell
* symmetry: R3m, No. 160
* calculated formation energy: -0.7366 eV per atom

***

No. 6
The following is a DFT calculation (PBE) of crystalline RbGa2Sn2 at its relaxed geometry.

Lattice parameters (Å, degrees): 6.697 6.697 6.697 135.55 135.55 64.68
Sites, in units of the cell vectors:
Rb (0.000, 0.000, 0.000)
Ga (0.250, 0.750, 0.500)
Ga (0.750, 0.250, 0.500)
Sn (0.369, 0.369, 0.000)
Sn (0.631, 0.631, 0.000)

* DFT total energy: -15.83 eV per cell
* polymorph energy (0 for the lowest one): 0.000 eV per atom
* spin magnetization: 0.00 Bohr magnetons per cell
* symmetry: I4/mmm, No. 139
* calculated formation energy: -0.1611 eV per atom

***

No. 7
The following is a DFT calculation (PBE) of crystalline GaAgRh2 at its relaxed geometry.

Lattice parameters (Å, degrees): 2.999 2.999 6.696 90.00 90.00 90.00
Sites, in units of the cell vectors:
Ga (0.000, 0.000, 0.000)
Ag (0.000, 0.000, 0.500)
Rh (0.500, 0.500, 0.217)
Rh (0.500, 0.500, 0.783)

* DFT total energy: -21.52 eV per cell
* spin magnetization: 0.00 Bohr magnetons per cell
* symmetry: P4/mmm, No. 123
* calculated formation energy: -0.2341 eV per atom

***

No. 8
The following is a DFT calculation (PBE) of crystalline TaNiRh at its relaxed geometry.

Lattice parameters (Å, degrees): 4.290 4.290 5.356 90.00 90.00 120.00
Sites, in units of the cell vectors:
Ta (0.333, 0.667, 0.250)
Ta (0.667, 0.333, 0.750)
Ni (0.333, 0.667, 0.750)
Ni (0.667, 0.333, 0.250)
Rh (0.000, 0.000, 0.000)
Rh (0.000, 0.000, 0.500)

* DFT total energy: -52.51 eV per cell
* polymorph energy (0 for the lowest one): 0.002 eV per atom
* spin magnetization: 0.00 Bohr magnetons per cell
* symmetry: P6_3/mmc, No. 194
* calculated formation energy: -0.4228 eV per atom

***

Repeat the third record exactly.
The following is a DFT calculation (PBE) of crystalline CaGaICl4 at its relaxed geometry.

Lattice parameters (Å, degrees): 8.064 8.064 9.619 93.63 93.63 59.26
Sites, in units of the cell vectors:
Ca (0.152, 0.152, 0.008)
Ca (0.848, 0.848, 0.992)
Ga (0.346, 0.346, 0.725)
Ga (0.654, 0.654, 0.275)
I (0.004, 0.004, 0.223)
I (0.996, 0.996, 0.777)
Cl (0.053, 0.476, 0.833)
Cl (0.304, 0.304, 0.508)
Cl (0.476, 0.053, 0.833)
Cl (0.492, 0.492, 0.803)
Cl (0.508, 0.508, 0.197)
Cl (0.524, 0.947, 0.167)
Cl (0.696, 0.696, 0.492)
Cl (0.947, 0.524, 0.167)

* DFT total energy: -48.05 eV per cell
* uncorrected formation energy: -1437 meV per atom
* spin magnetization: 0.00 Bohr magnetons per cell
* symmetry: C2/m, No. 12